1.
A geometry-optimized PaTiBiO6 structure, computed with GGA-PBE.

Cell and atoms, written as CIF:
```
data_PaTiBiO6
_space_group_name_H-M_alt 'P 1'
_space_group_IT_number 1
_space_group_name_Hall 'P 1'
_cell_length_a 5.569
_cell_length_b 5.569
_cell_length_c 9.701
_cell_angle_alpha 90.00
_cell_angle_beta 90.00
_cell_angle_gamma 120.00
loop_
_atom_site_label
_atom_site_type_symbol
_atom_site_fract_x
_atom_site_fract_y
_atom_site_fract_z
Pa1 Pa 0.333 0.667 0.250
Pa2 Pa 0.667 0.333 0.750
Ti1 Ti 0.333 0.667 0.750
Ti2 Ti 0.667 0.333 0.250
Bi1 Bi 0.000 0.000 0.000
Bi2 Bi 0.000 0.000 0.500
O1 O 0.026 0.372 0.640
O2 O 0.026 0.654 0.860
O3 O 0.346 0.372 0.860
O4 O 0.346 0.974 0.640
O5 O 0.372 0.026 0.140
O6 O 0.372 0.346 0.360
O7 O 0.628 0.654 0.640
O8 O 0.628 0.974 0.860
O9 O 0.654 0.026 0.360
O10 O 0.654 0.628 0.140
O11 O 0.974 0.346 0.140
O12 O 0.974 0.628 0.360
```

Computed properties:
The spin magnetization comes out at 0.00 μB/f.u. The space group is No. 163.

=====

2.
A geometry-optimized Pr8Ga2Tc structure, computed with GGA-PBE.

Cell and atoms, written as CIF:
```
data_Pr8Ga2Tc
_space_group_name_H-M_alt 'P 1'
_space_group_IT_number 1
_space_group_name_Hall 'P 1'
_cell_length_a 8.988
_cell_length_b 8.988
_cell_length_c 8.988
_cell_angle_alpha 147.79
_cell_angle_beta 121.57
_cell_angle_gamma 68.31
loop_
_atom_site_label
_atom_site_type_symbol
_atom_site_fract_x
_atom_site_fract_y
_atom_site_fract_z
Pr1 Pr 0.113 0.342 0.771
Pr2 Pr 0.121 0.121 0.000
Pr3 Pr 0.332 0.000 0.332
Pr4 Pr 0.430 0.658 0.771
Pr5 Pr 0.570 0.342 0.229
Pr6 Pr 0.668 0.000 0.668
Pr7 Pr 0.879 0.879 0.000
Pr8 Pr 0.887 0.658 0.229
Ga1 Ga 0.306 0.806 0.500
Ga2 Ga 0.694 0.194 0.500
Tc1 Tc 0.000 0.500 0.500
```

Computed properties:
As for the formation energy: -0.07 eV per atom. The spin magnetization comes out at 0.00 μB/f.u. The space group is No. 71.

=====

3.
A geometry-optimized Th4Sb2TePb structure, computed with GGA-PBE.

Cell and atoms, written as CIF:
```
data_Th4Sb2TePb
_space_group_name_H-M_alt 'P 1'
_space_group_IT_number 1
_space_group_name_Hall 'P 1'
_cell_length_a 7.798
_cell_length_b 4.521
_cell_length_c 7.853
_cell_angle_alpha 90.00
_cell_angle_beta 109.47
_cell_angle_gamma 90.00
loop_
_atom_site_label
_atom_site_type_symbol
_atom_site_fract_x
_atom_site_fract_y
_atom_site_fract_z
Th1 Th 0.249 0.000 0.245
Th2 Th 0.251 0.500 0.755
Th3 Th 0.749 0.500 0.245
Th4 Th 0.751 0.000 0.755
Sb1 Sb 0.000 0.500 0.000
Sb2 Sb 0.500 0.000 0.000
Te1 Te 0.000 0.000 0.500
Pb1 Pb 0.500 0.500 0.500
```

Computed properties:
The spin magnetization comes out at 0.00 μB/f.u. The space group is No. 10.

=====

4.
A geometry-optimized LiTlNiPd structure, computed with GGA-PBE.

Cell and atoms, written as CIF:
```
data_LiTlNiPd
_space_group_name_H-M_alt 'P 1'
_space_group_IT_number 1
_space_group_name_Hall 'P 1'
_cell_length_a 4.416
_cell_length_b 4.416
_cell_length_c 4.416
_cell_angle_alpha 60.00
_cell_angle_beta 60.00
_cell_angle_gamma 60.00
loop_
_atom_site_label
_atom_site_type_symbol
_atom_site_fract_x
_atom_site_fract_y
_atom_site_fract_z
Li1 Li 0.000 0.000 0.000
Tl1 Tl 0.250 0.250 0.250
Ni1 Ni 0.500 0.500 0.500
Pd1 Pd 0.750 0.750 0.750
```

Computed properties:
As for the formation energy: -0.15 eV per atom. The spin magnetization comes out at 0.00 μB/f.u. The space group is No. 216.

=====

5.
A geometry-optimized UTiPb structure, computed with GGA-PBE.

Cell and atoms, written as CIF:
```
data_UTiPb
_space_group_name_H-M_alt 'P 1'
_space_group_IT_number 1
_space_group_name_Hall 'P 1'
_cell_length_a 5.934
_cell_length_b 5.934
_cell_length_c 5.331
_cell_angle_alpha 105.28
_cell_angle_beta 105.28
_cell_angle_gamma 121.77
loop_
_atom_site_label
_atom_site_type_symbol
_atom_site_fract_x
_atom_site_fract_y
_atom_site_fract_z
U1 U 0.138 0.138 0.275
U2 U 0.862 0.862 0.725
Ti1 Ti 0.588 0.089 0.175
Ti2 Ti 0.911 0.412 0.825
Pb1 Pb 0.250 0.750 0.500
Pb2 Pb 0.499 0.501 0.000
```

Computed properties:
As for the formation energy: 0.22 eV per atom. The spin magnetization comes out at 1.08 μB/f.u. The space group is No. 5.

=====

6.
A geometry-optimized LaHoEr5Th2 structure, computed with GGA-PBE.

Cell and atoms, written as CIF:
```
data_LaHoEr5Th2
_space_group_name_H-M_alt 'P 1'
_space_group_IT_number 1
_space_group_name_Hall 'P 1'
_cell_length_a 9.813
_cell_length_b 9.813
_cell_length_c 9.813
_cell_angle_alpha 125.99
_cell_angle_beta 125.99
_cell_angle_gamma 79.91
loop_
_atom_site_label
_atom_site_type_symbol
_atom_site_fract_x
_atom_site_fract_y
_atom_site_fract_z
La1 La 0.250 0.250 0.000
La2 La 0.750 0.750 0.000
Ho1 Ho 0.250 0.750 0.500
Ho2 Ho 0.750 0.250 0.500
Er1 Er 0.000 0.000 0.000
Er2 Er 0.070 0.570 0.913
Er3 Er 0.158 0.070 0.500
Er4 Er 0.342 0.842 0.913
Er5 Er 0.430 0.342 0.500
Er6 Er 0.500 0.500 0.000
Er7 Er 0.570 0.658 0.500
Er8 Er 0.658 0.158 0.087
Er9 Er 0.842 0.930 0.500
Er10 Er 0.930 0.430 0.087
Th1 Th 0.118 0.382 0.500
Th2 Th 0.382 0.882 0.263
Th3 Th 0.618 0.118 0.737
Th4 Th 0.882 0.618 0.500
```

Computed properties:
As for the formation energy: 0.33 eV per atom. The spin magnetization comes out at 0.00 μB/f.u. The space group is No. 140.

=====

Number 1: raw total energy -8.385 eV per atom, theoretical density 7.4 g cm⁻³. Number 2: raw total energy -5.040 eV per atom, theoretical density 7.0 g cm⁻³. Number 3: raw total energy -6.378 eV per atom, theoretical density 9.6 g cm⁻³. Number 4: raw total energy -3.959 eV per atom, theoretical density 10.3 g cm⁻³. Number 5: raw total energy -7.415 eV per atom, theoretical density 12.2 g cm⁻³. Number 6: raw total energy -4.907 eV per atom, theoretical density 8.9 g cm⁻³.